[1]
Here is an optimized crystal structure of Th6Te3Os2Pt from Alexandria. Energies are from PBE.

abc: 7.3000 7.3000 8.0731
angles: 98.66 98.66 120.00
Last column: nearest neighbours and their distance in Å.
Atoms (fractional coordinates):
Te1 0.8351 0.1649 0.5000  6 Th 3.30-3.37
Te2 0.5000 0.5000 0.5000  6 Th 3.30-3.37
Te3 0.1649 0.8351 0.5000  6 Th 3.30-3.37
Th1 0.4111 0.0674 0.2019  2 Os 2.86, 1 Pt 2.95
Th2 0.9326 0.5889 0.7981  2 Os 2.86, 1 Pt 2.95
Th3 0.0674 0.4111 0.2019  2 Os 2.86, 1 Pt 2.95
Th4 0.2765 0.2765 0.7991  2 Os 2.85, 1 Pt 2.95
Th5 0.5889 0.9326 0.7981  2 Os 2.86, 1 Pt 2.95
Th6 0.7235 0.7235 0.2009  2 Os 2.85, 1 Pt 2.95
Os1 0.3332 0.6668 0.0000  6 Th 2.85-2.86
Os2 0.6668 0.3332 0.0000  6 Th 2.85-2.86
Pt1 0.0000 0.0000 0.0000  6 Th 2.95

## Properties
DOS at the Fermi energy, states/eV/atom: 0.63
Space group: No. 12
Energy relative to the elements, uncorrected, eV/atom: -0.98
Size of the total moment, μB/cell: 0.000
Theoretical density, g cm⁻³: 10.986

[2]
Here is an optimized crystal structure of Nd2Y12Ho5 from Alexandria. Energies are from PBE.

abc: 6.9409 9.6730 14.2086
angles: 120.06 92.87 121.40
Last column: nearest neighbours and their distance in Å.
Atoms (fractional coordinates):
Y1 0.5691 0.0863 0.8232  4 Y 3.15-3.43, 2 Ho 3.24-3.42, 1 Nd 3.40
Y2 0.4309 0.9137 0.1768  4 Y 3.15-3.43, 2 Ho 3.24-3.42, 1 Nd 3.40
Y3 0.1442 0.5129 0.9081  6 Y 3.15-3.49, 2 Ho 3.33-3.42
Y4 0.0075 0.0455 0.7892  5 Y 3.29-3.69, 1 Nd 3.54
Y5 0.5051 0.3254 0.4980  5 Ho 3.29-3.65, 4 Y 3.37-3.57
Y6 0.4949 0.6746 0.5020  5 Ho 3.29-3.65, 4 Y 3.37-3.57
Y7 0.9226 0.2620 0.4266  5 Y 3.23-3.42, 2 Ho 3.34-3.44
Y8 0.0774 0.7380 0.5734  5 Y 3.23-3.42, 2 Ho 3.34-3.44
Y9 0.6214 0.5086 0.8803  6 Y 3.37-3.77, 1 Nd 3.56, 2 Ho 3.60-3.73
Y10 0.3786 0.4914 0.1197  6 Y 3.37-3.77, 1 Nd 3.56, 2 Ho 3.60-3.73
Y11 0.8558 0.4871 0.0919  6 Y 3.15-3.49, 2 Ho 3.33-3.42
Y12 0.9925 0.9545 0.2108  5 Y 3.29-3.69, 1 Nd 3.54
Ho1 0.6677 0.4017 0.2877  7 Y 3.34-3.73, 1 Ho 3.71
Ho2 0.3130 0.8183 0.3641  1 Ho 3.15, 3 Y 3.24-3.42
Ho3 0.3323 0.5983 0.7123  7 Y 3.34-3.73, 1 Ho 3.71
Ho4 0.0000 0.0000 0.5000  4 Y 3.29-3.44, 2 Ho 3.54
Ho5 0.6870 0.1817 0.6359  1 Ho 3.15, 3 Y 3.24-3.42
Nd1 0.7835 0.0510 0.0355  5 Y 3.40-3.61, 2 Nd 3.47-3.66, 1 Ho 3.77
Nd2 0.2165 0.9490 0.9645  5 Y 3.40-3.61, 2 Nd 3.47-3.66, 1 Ho 3.77

## Properties
DOS at the Fermi energy, states/eV/atom: 1.61
Space group: No. 2
Formation energy, meV/atom: 211
Size of the total moment, μB/cell: 0.000
Relative energy among the computed polymorphs, meV per atom: 80.5
Theoretical density, g cm⁻³: 5.662

[3]
Here is an optimized crystal structure of PmTh2Sn from Alexandria. Energies are from PBE.

abc: 3.5013 3.5013 12.6450
angles: 82.04 82.04 60.00
Last column: nearest neighbours and their distance in Å.
Atoms (fractional coordinates):
Th1 0.0860 0.0860 0.7420  1 Sn 3.22, 6 Th 3.50
Th2 0.9140 0.9140 0.2580  1 Sn 3.22, 6 Th 3.50
Sn1 0.0000 0.0000 0.0000  2 Th 3.22, 6 Sn 3.50
Pm1 0.5000 0.5000 0.5000  6 Pm 3.50, 6 Th 3.63

## Properties
DOS at the Fermi energy, states/eV/atom: 1.54
Space group: No. 166
Formation energy, meV/atom: 182
Size of the total moment, μB/cell: 0.000
Relative energy among the computed polymorphs, meV per atom: 535.3
Theoretical density, g cm⁻³: 9.119

[4]
Here is an optimized crystal structure of TmLuMnNi from Alexandria. Energies are from PBE.

abc: 4.7897 4.7897 4.7897
angles: 60.00 60.00 60.00
Last column: nearest neighbours and their distance in Å.
Atoms (fractional coordinates):
Mn1 0.2500 0.2500 0.2500  4 Lu 2.93, 4 Tm 2.93
Ni1 0.7500 0.7500 0.7500  4 Tm 2.93, 4 Lu 2.93
Tm1 0.0000 0.0000 0.0000  4 Ni 2.93, 4 Mn 2.93
Lu1 0.5000 0.5000 0.5000  4 Mn 2.93, 4 Ni 2.93

## Properties
DOS at the Fermi energy, states/eV/atom: 1.38
Space group: No. 216
Formation energy, meV/atom: -78
Size of the total moment, μB/cell: 3.221
Theoretical density, g cm⁻³: 9.778

[5]
Here is an optimized crystal structure of AgSb2S2 from Alexandria. Energies are from PBE.

abc: 8.1863 8.1863 3.8009
angles: 90.00 90.00 90.00
Last column: nearest neighbours and their distance in Å.
Atoms (fractional coordinates):
Sb1 0.2172 0.2828 0.0000  2 S 2.53
Sb2 0.7172 0.2172 0.0000  2 S 2.53
Sb3 0.7828 0.7172 0.0000  2 S 2.53
Sb4 0.2828 0.7828 0.0000  2 S 2.53
S1 0.3614 0.1386 0.5000  2 Sb 2.53
S2 0.8614 0.3614 0.5000  2 Sb 2.53
S3 0.1386 0.6386 0.5000  2 Sb 2.53
S4 0.6386 0.8614 0.5000  2 Sb 2.53
Ag1 0.0000 0.0000 0.0000  4 Sb 2.92
Ag2 0.5000 0.5000 0.0000  4 Sb 2.92

## Properties
DOS at the Fermi energy, states/eV/atom: 0.30
Space group: No. 127
Energy relative to the elements, uncorrected, eV/atom: 0.06
Size of the total moment, μB/cell: 0.000
Theoretical density, g cm⁻³: 5.418

[6]
Here is an optimized crystal structure of Nb2ZnN from Alexandria. Energies are from PBE.

abc: 5.1908 5.1908 6.5304
angles: 66.58 66.58 90.00
Last column: nearest neighbours and their distance in Å.
Atoms (fractional coordinates):
Nb1 0.3750 0.4789 0.7500  2 N 2.02
Nb2 0.8750 0.7711 0.7500  2 N 2.02
Nb3 0.2289 0.6250 0.2500  2 N 2.02
Nb4 0.5211 0.1250 0.2500  2 N 2.02
N1 0.5000 0.5000 0.0000  4 Nb 2.02
N2 0.2500 0.7500 0.5000  4 Nb 2.02
Zn1 0.0000 0.0000 0.0000  4 Nb 2.62
Zn2 0.7500 0.2500 0.5000  4 Nb 2.62

## Properties
DOS at the Fermi energy, states/eV/atom: 0.53
Space group: No. 122
Energy relative to the elements, uncorrected, eV/atom: 0.12
Size of the total moment, μB/cell: 0.000
Theoretical density, g cm⁻³: 6.052